# CeDy2Hg2 | the Alexandria database | GGA-PBE | optimized geometry
data_CeDy2Hg2
_symmetry_space_group_name_H-M 'F d d d'
_symmetry_Int_Tables_number 70
_cell_length_a 6.7818
_cell_length_b 11.6381
_cell_length_c 16.6482
_cell_angle_alpha 90.00
_cell_angle_beta 90.00
_cell_angle_gamma 90.00
loop_
_symmetry_equiv_pos_as_xyz
'x,y,z'
'-x,-y,-z'
'-x+1/4,-y+1/4,z'
'x+1/4,y+1/4,-z'
'x,-y+1/4,-z+1/4'
'-x,y+1/4,z+1/4'
'-x+1/4,y,-z+1/4'
'x+1/4,-y,z+1/4'
'x,y+1/2,z+1/2'
'-x,-y+1/2,-z+1/2'
'-x+1/4,-y+3/4,z+1/2'
'x+1/4,y+3/4,-z+1/2'
'x,-y+3/4,-z+3/4'
'-x,y+3/4,z+3/4'
'-x+1/4,y+1/2,-z+3/4'
'x+1/4,-y+1/2,z+3/4'
'x+1/2,y,z+1/2'
'-x+1/2,-y,-z+1/2'
'-x+3/4,-y+1/4,z+1/2'
'x+3/4,y+1/4,-z+1/2'
'x+1/2,-y+1/4,-z+3/4'
'-x+1/2,y+1/4,z+3/4'
'-x+3/4,y,-z+3/4'
'x+3/4,-y,z+3/4'
'x+1/2,y+1/2,z'
'-x+1/2,-y+1/2,-z'
'-x+3/4,-y+3/4,z'
'x+3/4,y+3/4,-z'
'x+1/2,-y+3/4,-z+1/4'
'-x+1/2,y+3/4,z+1/4'
'-x+3/4,y+1/2,-z+1/4'
'x+3/4,-y+1/2,z+1/4'
loop_
_atom_site_label
_atom_site_type_symbol
_atom_site_fract_x
_atom_site_fract_y
_atom_site_fract_z
Ce1 Ce 0.1250 0.1250 0.1250
Dy1 Dy 0.1250 0.1250 0.5223
Hg1 Hg 0.1250 0.3434 0.6250
# Total magnetization = 0.349 μB/atom
# DOS at the Fermi energy = 2.492 states/eV per atom
# Volume = 164 Å³/f.u.
# Energy of formation from the pure elements = 0.51 eV per formula unit

# LiNi2Pt | the Alexandria database | GGA-PBE | optimized geometry
data_LiNi2Pt
_symmetry_space_group_name_H-M 'P 1 2/m 1'
_symmetry_Int_Tables_number 10
_cell_length_a 2.5819
_cell_length_b 4.0483
_cell_length_c 4.8691
_cell_angle_alpha 90.00
_cell_angle_beta 104.58
_cell_angle_gamma 90.00
loop_
_symmetry_equiv_pos_as_xyz
'x,y,z'
'-x,-y,-z'
'-x,y,-z'
'x,-y,z'
loop_
_atom_site_label
_atom_site_type_symbol
_atom_site_fract_x
_atom_site_fract_y
_atom_site_fract_z
Li1 Li 0.0000 0.0000 0.0000
Ni1 Ni 0.1550 0.5000 0.7574
Pt1 Pt 0.5000 0.0000 0.5000
# Total magnetization = 0.322 μB/atom
# DOS at the Fermi energy = 1.009 states/eV per atom
# Volume = 49 Å³/f.u.
# Energy of formation from the pure elements = -0.49 eV per formula unit

# TiNbN2F | the Alexandria database | GGA-PBE | optimized geometry
data_TiNbN2F
_symmetry_space_group_name_H-M 'P 4/m m m'
_symmetry_Int_Tables_number 123
_symmetry_space_group_name_Hall '-P 4 2'
_cell_length_a 4.1068
_cell_length_b 4.1068
_cell_length_c 3.9502
_cell_angle_alpha 90.00
_cell_angle_beta 90.00
_cell_angle_gamma 90.00
loop_
_atom_site_label
_atom_site_type_symbol
_atom_site_fract_x
_atom_site_fract_y
_atom_site_fract_z
Ti1 Ti 0.0000 0.0000 0.0000
Nb1 Nb 0.5000 0.5000 0.5000
N1 N 0.0000 0.5000 0.5000
F1 F 0.5000 0.5000 0.0000
# Total magnetization = 0.355 μB/atom
# DOS at the Fermi energy = 0.825 states/eV per atom
# Volume = 67 Å³/f.u.
# Formation energy from raw total energies = -545.9 meV/atom
# E above lowest polymorph = 0.289 eV per formula unit

# Sc2BeCu2Ni5 | the Alexandria database | GGA-PBE | optimized geometry
data_Sc2BeCu2Ni5
_symmetry_space_group_name_H-M 'P 4/m b m'
_symmetry_Int_Tables_number 127
_symmetry_space_group_name_Hall '-P 4 2ab'
_cell_length_a 8.5833
_cell_length_b 8.5833
_cell_length_c 3.5369
_cell_angle_alpha 90.00
_cell_angle_beta 90.00
_cell_angle_gamma 90.00
loop_
_atom_site_label
_atom_site_type_symbol
_atom_site_fract_x
_atom_site_fract_y
_atom_site_fract_z
Sc1 Sc 0.1748 0.3252 0.0000
Be1 Be 0.0000 0.0000 0.0000
Cu1 Cu 0.1247 0.6247 0.0000
Ni1 Ni 0.0000 0.5000 0.5000
Ni2 Ni 0.0608 0.8064 0.5000
# Total magnetization = 0.000 μB/atom
# DOS at the Fermi energy = 0.459 states/eV per atom
# Volume = 130 Å³/f.u.
# Energy of formation from the pure elements = -2.19 eV per formula unit

# InGeF2 | the Alexandria database | GGA-PBE | optimized geometry
data_InGeF2
_symmetry_space_group_name_H-M 'R -3 m'
_symmetry_Int_Tables_number 166
_symmetry_space_group_name_Hall '-R 3 2"'
_cell_length_a 3.1008
_cell_length_b 3.1008
_cell_length_c 24.2054
_cell_angle_alpha 90.00
_cell_angle_beta 90.00
_cell_angle_gamma 120.00
loop_
_atom_site_label
_atom_site_type_symbol
_atom_site_fract_x
_atom_site_fract_y
_atom_site_fract_z
In1 In 0.0000 0.0000 0.0000
Ge1 Ge 0.0000 0.0000 0.5000
F1 F 0.0000 0.0000 0.4142
# Total magnetization = 0.000 μB/atom
# DOS at the Fermi energy = 0.290 states/eV per atom
# Volume = 67 Å³/f.u.
# Formation energy from raw total energies = -1398.0 meV/atom
# E above lowest polymorph = 0.000 eV per formula unit

# La5Y | the Alexandria database | GGA-PBE | optimized geometry
data_La5Y
_symmetry_space_group_name_H-M 'A m m 2'
_symmetry_Int_Tables_number 38
_cell_length_a 6.0067
_cell_length_b 3.7596
_cell_length_c 19.4446
_cell_angle_alpha 90.00
_cell_angle_beta 90.00
_cell_angle_gamma 90.00
loop_
_symmetry_equiv_pos_as_xyz
'x,y,z'
'-x,-y,z'
'-x,y,z'
'x,-y,z'
'x,y+1/2,z+1/2'
'-x,-y+1/2,z+1/2'
'-x,y+1/2,z+1/2'
'x,-y+1/2,z+1/2'
loop_
_atom_site_label
_atom_site_type_symbol
_atom_site_fract_x
_atom_site_fract_y
_atom_site_fract_z
La1 La 0.0000 0.0000 0.0000
La2 La 0.0000 0.0000 0.3296
La3 La 0.0000 0.0000 0.6641
La4 La 0.5000 0.0000 0.4451
La5 La 0.5000 0.0000 0.7765
Y1 Y 0.5000 0.0000 0.1102
# Total magnetization = 0.000 μB/atom
# DOS at the Fermi energy = 1.896 states/eV per atom
# Volume = 220 Å³/f.u.
# Energy of formation from the pure elements = 0.21 eV per formula unit
# E above lowest polymorph = 0.122 eV per formula unit

# ScSb2PtI | the Alexandria database | GGA-PBE | optimized geometry
data_ScSb2PtI
_symmetry_space_group_name_H-M 'P 4/m m m'
_symmetry_Int_Tables_number 123
_symmetry_space_group_name_Hall '-P 4 2'
_cell_length_a 5.5077
_cell_length_b 5.5077
_cell_length_c 5.3099
_cell_angle_alpha 90.00
_cell_angle_beta 90.00
_cell_angle_gamma 90.00
loop_
_atom_site_label
_atom_site_type_symbol
_atom_site_fract_x
_atom_site_fract_y
_atom_site_fract_z
Sc1 Sc 0.0000 0.0000 0.0000
Sb1 Sb 0.0000 0.5000 0.0000
Pt1 Pt 0.5000 0.5000 0.5000
I1 I 0.0000 0.0000 0.5000
# Total magnetization = 0.000 μB/atom
# DOS at the Fermi energy = 0.678 states/eV per atom
# Volume = 161 Å³/f.u.
# Formation energy from raw total energies = 595.4 meV/atom
# E above lowest polymorph = 1.775 eV per formula unit

# ReNi2Te | the Alexandria database | GGA-PBE | optimized geometry
data_ReNi2Te
_symmetry_space_group_name_H-M 'P m m m'
_symmetry_Int_Tables_number 47
_cell_length_a 2.8491
_cell_length_b 3.6943
_cell_length_c 5.7350
_cell_angle_alpha 90.00
_cell_angle_beta 90.00
_cell_angle_gamma 90.00
loop_
_symmetry_equiv_pos_as_xyz
'x,y,z'
'-x,-y,-z'
'-x,-y,z'
'x,y,-z'
'x,-y,-z'
'-x,y,z'
'-x,y,-z'
'x,-y,z'
loop_
_atom_site_label
_atom_site_type_symbol
_atom_site_fract_x
_atom_site_fract_y
_atom_site_fract_z
Re1 Re 0.0000 0.0000 0.0000
Ni1 Ni 0.5000 0.5000 0.2136
Te1 Te 0.0000 0.0000 0.5000
# Total magnetization = 0.000 μB/atom
# DOS at the Fermi energy = 1.117 states/eV per atom
# Volume = 60 Å³/f.u.
# Formation energy from raw total energies = 415.6 meV/atom

# CuHgAu2 | the Alexandria database | GGA-PBE | optimized geometry
data_CuHgAu2
_symmetry_space_group_name_H-M 'I -4 2 d'
_symmetry_Int_Tables_number 122
_symmetry_space_group_name_Hall 'I -4 2bw'
_cell_length_a 7.4782
_cell_length_b 7.4782
_cell_length_c 5.4831
_cell_angle_alpha 90.00
_cell_angle_beta 90.00
_cell_angle_gamma 90.00
loop_
_atom_site_label
_atom_site_type_symbol
_atom_site_fract_x
_atom_site_fract_y
_atom_site_fract_z
Cu1 Cu 0.0000 0.0000 0.0000
Hg1 Hg 0.0000 0.0000 0.5000
Au1 Au 0.2200 0.2500 0.1250
# Total magnetization = 0.000 μB/atom
# DOS at the Fermi energy = 0.312 states/eV per atom
# Volume = 77 Å³/f.u.
# Energy of formation from the pure elements = 0.65 eV per formula unit

# ZnWAu2 | the Alexandria database | GGA-PBE | optimized geometry
data_ZnWAu2
_symmetry_space_group_name_H-M 'R -3 m'
_symmetry_Int_Tables_number 166
_symmetry_space_group_name_Hall '-R 3 2"'
_cell_length_a 2.8744
_cell_length_b 2.8744
_cell_length_c 27.8580
_cell_angle_alpha 90.00
_cell_angle_beta 90.00
_cell_angle_gamma 120.00
loop_
_atom_site_label
_atom_site_type_symbol
_atom_site_fract_x
_atom_site_fract_y
_atom_site_fract_z
Zn1 Zn 0.0000 0.0000 0.0000
W1 W 0.0000 0.0000 0.5000
Au1 Au 0.0000 0.0000 0.2517
# Total magnetization = 0.000 μB/atom
# DOS at the Fermi energy = 0.726 states/eV per atom
# Volume = 66 Å³/f.u.
# Energy of formation from the pure elements = 0.74 eV per formula unit

# NaMnRe2 | the Alexandria database | GGA-PBE | optimized geometry
data_NaMnRe2
_symmetry_space_group_name_H-M 'F m -3 m'
_symmetry_Int_Tables_number 225
_symmetry_space_group_name_Hall '-F 4 2 3'
_cell_length_a 6.0754
_cell_length_b 6.0754
_cell_length_c 6.0754
_cell_angle_alpha 90.00
_cell_angle_beta 90.00
_cell_angle_gamma 90.00
loop_
_atom_site_label
_atom_site_type_symbol
_atom_site_fract_x
_atom_site_fract_y
_atom_site_fract_z
Na1 Na 0.0000 0.0000 0.0000
Mn1 Mn 0.0000 0.0000 0.5000
Re1 Re 0.2500 0.2500 0.2500
# Total magnetization = 0.000 μB/atom
# DOS at the Fermi energy = 1.014 states/eV per atom
# Volume = 56 Å³/f.u.
# Energy of formation from the pure elements = 4.24 eV per formula unit
# E above lowest polymorph = 0.000 eV per formula unit

# LaRh3W | the Alexandria database | GGA-PBE | optimized geometry
data_LaRh3W
_symmetry_space_group_name_H-M 'P m -3 m'
_symmetry_Int_Tables_number 221
_symmetry_space_group_name_Hall '-P 4 2 3'
_cell_length_a 4.7853
_cell_length_b 4.7853
_cell_length_c 4.7853
_cell_angle_alpha 90.00
_cell_angle_beta 90.00
_cell_angle_gamma 90.00
loop_
_atom_site_label
_atom_site_type_symbol
_atom_site_fract_x
_atom_site_fract_y
_atom_site_fract_z
La1 La 0.0000 0.0000 0.0000
Rh1 Rh 0.0000 0.5000 0.5000
W1 W 0.5000 0.5000 0.5000
# Total magnetization = 0.000 μB/atom
# DOS at the Fermi energy = 1.152 states/eV per atom
# Volume = 110 Å³/f.u.
# Energy of formation from the pure elements = 0.98 eV per formula unit
# E above lowest polymorph = 0.000 eV per formula unit